Record 1
Density functional theory data (PBE-GGA) for crystalline Dy2AlGe at its relaxed geometry.

Cell lengths 4.362, 4.019, 5.864 Å; angles 90.00, 111.84, 90.00 degrees
Positions (direct):
Ge 0.524 0.500 0.047
Dy 0.086 0.000 0.172
Al 0.371 0.000 0.741
Dy 0.804 0.500 0.608

* VASP energy: -20.3 eV/cell
* size of the total moment: 0.00 μB per atom
* energy relative to the elements: -16.01 kcal/mol of atoms
* calculated density: 7.39 g/cm³
* V: 95.43 Å³/f.u.

=====

Record 2
Density functional theory data (PBE-GGA) for crystalline Dy2AlGe at its relaxed geometry.

Cell lengths 4.006, 4.006, 9.708 Å; angles 78.09, 78.09, 60.00 degrees
Positions (direct):
Al 0.000 0.000 0.000
Dy 0.890 0.890 0.331
Dy 0.110 0.110 0.669
Ge 0.500 0.500 0.500

* VASP energy: -17.3 eV/cell
* size of the total moment: 0.00 μB per atom
* energy relative to the elements: 1.50 kcal/mol of atoms
* calculated density: 5.38 g/cm³
* V: 131.06 Å³/f.u.

=====

> VASP energy of number 2 (Dy2AlGe)?

-17.3 eV/cell